No. 1
Here is a geometry-optimized NaLi2CeBi2 structure from Alexandria. Energies are from GGA-PBE.

The calculation puts the total magnetic moment at 0.1682 μB per atom. As for the calculated formation energy: -0.60 eV per atom. The crystal system is trigonal.

a = 4.8201 Å, b = 4.8201 Å, c = 7.6754 Å
α = 90.00°, β = 90.00°, γ = 120.00°
Last column: nearest neighbours and their distance in Å.
Element x y z (fractional)
Na1 0.0000 0.0000 0.5000  6 Li 3.05, 6 Bi 3.41
Li1 0.3333 0.6667 0.6636  3 Bi 2.88, 3 Na 3.05
Li2 0.6667 0.3333 0.3364  3 Bi 2.88, 3 Na 3.05
Ce1 0.0000 0.0000 0.0000  6 Bi 3.35
Bi1 0.3333 0.6667 0.2423  3 Li 2.88
Bi2 0.6667 0.3333 0.7577  3 Li 2.88


No. 2
Here is a geometry-optimized ScTlRh structure from Alexandria. Energies are from GGA-PBE.

The calculation puts the total magnetic moment at 0.0000 μB per atom. As for the calculated formation energy: -0.26 eV per atom. The crystal system is trigonal.

a = 3.3229 Å, b = 3.3229 Å, c = 6.5045 Å
α = 90.00°, β = 90.00°, γ = 120.00°
Last column: nearest neighbours and their distance in Å.
Element x y z (fractional)
Rh1 0.0000 0.0000 0.0215  3 Sc 2.61, 3 Tl 2.91
Sc1 0.6667 0.3333 0.2934  3 Rh 2.61
Tl1 0.3333 0.6667 0.6851  3 Rh 2.91, 3 Sc 3.19


No. 3
Here is a geometry-optimized Nb2InW structure from Alexandria. Energies are from GGA-PBE.

The calculation puts the total magnetic moment at 0.0000 μB per atom. As for the calculated formation energy: 0.24 eV per atom. The crystal system is trigonal.

a = 3.1551 Å, b = 3.1551 Å, c = 9.1262 Å
α = 80.05°, β = 80.05°, γ = 60.00°
Last column: nearest neighbours and their distance in Å.
Element x y z (fractional)
Nb1 0.2587 0.2587 0.2239  3 W 2.71
Nb2 0.7413 0.7413 0.7761  3 W 2.71
W1 0.0000 0.0000 0.0000  6 Nb 2.71
In1 0.5000 0.5000 0.5000  6 Nb 3.07, 6 In 3.16


No. 4
Here is a geometry-optimized TePW2 structure from Alexandria. Energies are from GGA-PBE.

The calculation puts the total magnetic moment at 0.0000 μB per atom. For the formation energy (no corrections), the calculation gives 646 meV/atom. The crystal system is orthorhombic.

a = 5.1049 Å, b = 5.1049 Å, c = 5.1049 Å
α = 141.58°, β = 119.49°, γ = 73.99°
Last column: nearest neighbours and their distance in Å.
Element x y z (fractional)
Te1 0.0000 0.5000 0.5000  8 W 2.96-3.05, 4 P 3.07
P1 0.5000 0.0000 0.5000  4 W 2.35
W1 0.7014 0.7014 0.0000  2 P 2.35
W2 0.2986 0.2986 0.0000  2 P 2.35